(1)
VASP calculation (PBE) on crystalline Ce3PaTl3S8 at its relaxed geometry.

Unit cell a=8.3073 b=8.3076 c=8.9342 alpha=117.72 beta=89.98 gamma=120.01
Site moments in Bohr magnetons follow the coordinates.
Positions (direct):
Ce  0.0000  0.5000  0.5000  0.95
Tl  0.0000  0.5000  0.0000  0.01
Tl  0.5000  0.5000  0.0000  0.01
S  0.2237  0.4474  0.6941  -0.02
S  0.2667  0.5335  0.3002  -0.02
Tl  0.0000  0.0000  0.0000  0.01
Pa  0.0000  0.0000  0.5000  0.76
S  0.2532  0.0296  0.3059  -0.02
S  0.7763  0.0296  0.3058  -0.02
Ce  0.5000  0.5000  0.5000  0.95
Ce  0.5000  0.0000  0.5000  0.95
S  0.7468  0.9704  0.6941  -0.02
S  0.7763  0.5526  0.3059  -0.02
S  0.2237  0.9704  0.6942  -0.02
S  0.7333  0.4665  0.6998  -0.02

**Mass density**: 5607 kg/m³
**N(E_F)**: 1.6202 states/eV per atom
**Formation energy without anion corrections**: -21.710 eV per formula unit
**SG**: R-3m

---

(2)
VASP calculation (PBE) on crystalline Cs2YTeBr6 at its relaxed geometry.

Unit cell a=8.1448 b=8.1448 c=8.8291 alpha=62.53 beta=62.53 gamma=90.00
Site moments in Bohr magnetons follow the coordinates.
Positions (direct):
Y  0.5000  0.5000  0.0000  0.10
Cs  0.2500  0.7500  0.5000  0.00
Br  0.7441  0.7441  0.0000  0.04
Br  0.2559  0.2559  0.0000  0.04
Te  0.0000  0.0000  0.0000  0.41
Br  0.7078  0.7078  0.5844  0.00
Br  0.7441  0.2559  0.0000  0.02
Br  0.2922  0.2922  0.4156  0.00
Br  0.2559  0.7441  0.0000  0.02
Cs  0.7500  0.2500  0.5000  0.00

**Mass density**: 3597 kg/m³
**N(E_F)**: 0.2734 states/eV per atom
**Formation energy without anion corrections**: -13.427 eV per formula unit
**SG**: I4/mmm

---

(3)
VASP calculation (PBE) on crystalline LiAu4Se4Cl4O12 at its relaxed geometry.

Unit cell a=5.1782 b=9.8492 c=10.9547 alpha=85.10 beta=92.38 gamma=87.83
Site moments in Bohr magnetons follow the coordinates.
Positions (direct):
O  0.8309  0.8337  0.9110  0.06
Cl  0.2749  0.1769  0.4712  0.00
O  0.8495  0.5813  0.8802  0.01
Cl  0.8677  0.5180  0.3293  0.01
O  0.1282  0.4199  0.1014  0.01
Se  0.0583  0.7155  0.8679  0.01
Au  0.0226  0.9917  0.5111  0.00
O  0.1082  0.1671  0.0990  0.08
Li  0.5010  0.8499  0.9928  0.00
Se  0.2806  0.1121  0.7594  0.01
O  0.8934  0.0068  0.3324  0.01
Au  0.9536  0.3930  0.8290  0.02
O  0.3199  0.0182  0.9010  0.07
O  0.2567  0.6902  0.0053  0.00
Se  0.8846  0.2984  0.1137  0.01
Au  0.9761  0.0004  0.0094  0.39
O  0.9836  0.1990  0.7782  0.02
O  0.6665  0.9411  0.1304  0.07
Cl  0.2177  0.4771  0.6798  0.01
Se  0.7753  0.8614  0.2719  0.01
Cl  0.7718  0.8059  0.5574  0.00
O  0.7250  0.3230  0.9688  0.00
O  0.1501  0.9750  0.6885  0.00
Au  0.0773  0.6067  0.1629  0.03
O  0.0792  0.7937  0.2312  0.02

**Mass density**: 4316 kg/m³
**N(E_F)**: 0.1167 states/eV per atom
**Formation energy without anion corrections**: -13.892 eV per formula unit
**SG**: P1

---

(4)
VASP calculation (PBE) on crystalline Be2MoAs at its relaxed geometry.

Unit cell a=3.3847 b=3.7624 c=3.7624 alpha=90.00 beta=90.00 gamma=90.00
Positions (direct):
Be  0.0000  0.0000  0.0000
As  0.5000  0.0000  0.5000
Mo  0.5000  0.5000  0.0000
Be  0.0000  0.5000  0.5000

**Mass density**: 6546 kg/m³
**ΔE_f**: 0.146 eV per atom
**N(E_F)**: 0.6410 states/eV per atom
**SG**: P4/mmm

---

For the records above, the corresponding volume values read 450.4; 443.9; 555.7; 47.9 Å³/cell.